Material: MnCd2Cl
Method: DFT, PBE-GGA
State: optimized geometry

Cell lengths 8.0810, 8.0810, 5.7750 Å; angles 90.00, 90.00, 90.00 degrees
Closest atoms and distances in Å follow each position.
Space group I-42d (No. 122)
One atom of each set of equivalent atoms:
Mn 0.0000 0.0000 0.0000 [4 per cell]  4 Cd 2.88, 2 Cl 2.89
Cd 0.2381 0.2500 0.1250 [8 per cell]  2 Mn 2.88, 2 Cd 2.89, 2 Cl 3.01
Cl 0.0000 0.0000 0.5000 [4 per cell]  2 Mn 2.89, 4 Cd 3.01

Summary:
crystal system: tetragonal
E_tot: -0.2269 Ry/atom
formation energy from raw total energies: 0.12 eV per atom
energy above the most stable polymorph in this dataset: 206 meV/atom

=====

Material: MnCd3Cl
Method: DFT, PBE-GGA
State: optimized geometry

Cell lengths 5.3677, 5.3677, 5.3677 Å; angles 90.00, 90.00, 90.00 degrees
Closest atoms and distances in Å follow each position.
Space group Pm-3m (No. 221)
One atom of each set of equivalent atoms:
Mn 0.0000 0.0000 0.0000 [1 per cell]  12 Cd 3.80
Cd 0.0000 0.5000 0.5000 [3 per cell]  2 Cl 2.68
Cl 0.5000 0.5000 0.5000 [1 per cell]  6 Cd 2.68

Summary:
crystal system: cubic
E_tot: -0.1486 Ry/atom
formation energy from raw total energies: 0.73 eV per atom
energy above the most stable polymorph in this dataset: 454 meV/atom

=====

Material: MnCdCl2
Method: DFT, PBE-GGA
State: optimized geometry

Cell lengths 3.5608, 3.4051, 9.6688 Å; angles 90.00, 99.92, 90.00 degrees
Closest atoms and distances in Å follow each position.
Space group P2/m (No. 10)
One atom of each set of equivalent atoms:
Mn 0.0000 0.0000 0.0000 [1 per cell]  4 Cl 2.43
Cd 0.5000 0.0000 0.5000 [1 per cell]  4 Cd 3.41-3.56
Cl 0.1683 0.5000 0.8419 [2 per cell]  2 Mn 2.43

Summary:
crystal system: monoclinic
E_tot: -0.2940 Ry/atom
formation energy from raw total energies: -0.55 eV per atom
energy above the most stable polymorph in this dataset: 134 meV/atom

=====

Material: MnCd2Cl6
Method: DFT, PBE-GGA
State: optimized geometry

Cell lengths 6.6050, 6.6050, 18.2477 Å; angles 90.00, 90.00, 120.00 degrees
Closest atoms and distances in Å follow each position.
Space group R3 (No. 146, hexagonal axes)
One atom of each set of equivalent atoms:
Mn 0.0000 0.0000 0.0000 [3 per cell]  6 Cl 2.49-2.63
Cd 0.0000 0.0000 0.4986 [3 per cell]  6 Cl 2.64-2.74
Cd 0.0000 0.0000 0.6918 [3 per cell]  6 Cl 2.62-2.70
Cl 0.0050 0.3093 0.0917 [9 per cell]  2 Cd 2.62-2.64, 1 Mn 2.63
Cl 0.0062 0.6384 0.2636 [9 per cell]  1 Mn 2.49, 2 Cd 2.70-2.74

Summary:
crystal system: trigonal
E_tot: -0.2569 Ry/atom
formation energy from raw total energies: -1.04 eV per atom

=====

Material: MnCdCl2
Method: DFT, PBE-GGA
State: optimized geometry

Cell lengths 3.2752, 3.2752, 8.3832 Å; angles 90.00, 90.00, 90.00 degrees
Closest atoms and distances in Å follow each position.
Space group P4mm (No. 99)
One atom of each set of equivalent atoms:
Mn 0.0000 0.0000 0.0000 [1 per cell]  4 Cl 2.65
Cd 0.5000 0.5000 0.2602 [1 per cell]  4 Cl 2.82
Cl 0.0000 0.0000 0.4515 [1 per cell]  4 Cd 2.82
Cl 0.5000 0.5000 0.8455 [1 per cell]  4 Mn 2.65

Summary:
crystal system: tetragonal
E_tot: -0.2822 Ry/atom
formation energy from raw total energies: -0.40 eV per atom
energy above the most stable polymorph in this dataset: 294 meV/atom

=====

Material: MnCdCl2
Method: DFT, PBE-GGA
State: optimized geometry

Cell lengths 3.5079, 3.4427, 8.3909 Å; angles 90.00, 101.91, 90.00 degrees
Closest atoms and distances in Å follow each position.
Space group Pm (No. 6)
One atom of each set of equivalent atoms:
Mn 0.0000 0.0000 0.0000 [1 per cell]  2 Cl 2.36
Cd 0.3927 0.5000 0.7806 [1 per cell]  4 Cl 2.86, 4 Mn 3.04-3.05
Cl 0.0977 0.5000 0.1970 [1 per cell]  2 Mn 2.36
Cl 0.8045 0.0000 0.6019 [1 per cell]  4 Cd 2.86

Summary:
crystal system: monoclinic
E_tot: -0.2867 Ry/atom
formation energy from raw total energies: -0.46 eV per atom
energy above the most stable polymorph in this dataset: 233 meV/atom

=====

Material: MnCdCl
Method: DFT, PBE-GGA
State: optimized geometry

Cell lengths 3.2031, 3.2031, 12.6708 Å; angles 90.00, 90.00, 90.00 degrees
Closest atoms and distances in Å follow each position.
Space group I4mm (No. 107)
One atom of each set of equivalent atoms:
Mn 0.0000 0.0000 0.0000 [2 per cell]  4 Cl 2.65, 4 Cd 2.92
Cd 0.0000 0.0000 0.3543 [2 per cell]  4 Mn 2.92, 4 Cd 3.20, 1 Cl 3.22
Cl 0.0000 0.0000 0.6086 [2 per cell]  4 Mn 2.65

Summary:
crystal system: tetragonal
E_tot: -0.3004 Ry/atom
formation energy from raw total energies: -0.11 eV per atom
energy above the most stable polymorph in this dataset: 80 meV/atom

=====

Material: MnCd2Cl
Method: DFT, PBE-GGA
State: optimized geometry

Cell lengths 7.1620, 7.1620, 7.1620 Å; angles 90.00, 90.00, 90.00 degrees
Closest atoms and distances in Å follow each position.
Space group F-43m (No. 216)
One atom of each set of equivalent atoms:
Mn 0.0000 0.0000 0.0000 [4 per cell]  4 Cd 3.10, 4 Cl 3.10
Cd 0.0000 0.0000 0.5000 [4 per cell]  4 Cd 3.10, 4 Cl 3.10
Cd 0.2500 0.2500 0.2500 [4 per cell]  4 Cd 3.10, 4 Mn 3.10
Cl 0.2500 0.2500 0.7500 [4 per cell]  4 Cd 3.10, 4 Mn 3.10

Summary:
crystal system: cubic
E_tot: -0.2143 Ry/atom
formation energy from raw total energies: 0.30 eV per atom
energy above the most stable polymorph in this dataset: 378 meV/atom

=====

Material: MnCdCl2
Method: DFT, PBE-GGA
State: optimized geometry

Cell lengths 6.5856, 7.7106, 3.4006 Å; angles 90.00, 90.00, 90.00 degrees
Closest atoms and distances in Å follow each position.
Space group Cmmm (No. 65)
One atom of each set of equivalent atoms:
Mn 0.0000 0.0000 0.0000 [2 per cell]  8 Cl 3.05, 2 Cd 3.29, 2 Mn 3.40
Cd 0.0000 0.5000 0.0000 [2 per cell]  8 Cl 3.05, 2 Mn 3.29, 2 Cd 3.40
Cl 0.2500 0.2500 0.5000 [4 per cell]  4 Cd 3.05, 4 Mn 3.05, 4 Cl 3.29-3.40

Summary:
crystal system: orthorhombic
E_tot: -0.2565 Ry/atom
formation energy from raw total energies: -0.05 eV per atom
energy above the most stable polymorph in this dataset: 643 meV/atom

=====

Material: MnCd2Cl
Method: DFT, PBE-GGA
State: optimized geometry

Cell lengths 7.2632, 7.2632, 7.2632 Å; angles 90.00, 90.00, 90.00 degrees
Closest atoms and distances in Å follow each position.
Space group Fm-3m (No. 225)
One atom of each set of equivalent atoms:
Mn 0.0000 0.0000 0.0000 [4 per cell]  8 Cd 3.15
Cd 0.2500 0.2500 0.2500 [8 per cell]  4 Cl 3.15, 4 Mn 3.15
Cl 0.0000 0.0000 0.5000 [4 per cell]  8 Cd 3.15

Summary:
crystal system: cubic
E_tot: -0.2103 Ry/atom
formation energy from raw total energies: 0.35 eV per atom
energy above the most stable polymorph in this dataset: 433 meV/atom

=====

Material: MnCdCl
Method: DFT, PBE-GGA
State: optimized geometry

Cell lengths 6.7125, 6.7125, 6.7125 Å; angles 90.00, 90.00, 90.00 degrees
Closest atoms and distances in Å follow each position.
Space group F-43m (No. 216)
One atom of each set of equivalent atoms:
Mn 0.0000 0.0000 0.0000 [4 per cell]  4 Cd 2.91, 4 Cl 2.91
Cd 0.2500 0.2500 0.2500 [4 per cell]  4 Mn 2.91
Cl 0.2500 0.2500 0.7500 [4 per cell]  4 Mn 2.91

Summary:
crystal system: cubic
E_tot: -0.2703 Ry/atom
formation energy from raw total energies: 0.30 eV per atom
energy above the most stable polymorph in this dataset: 490 meV/atom

=====

Material: MnCdCl2
Method: DFT, PBE-GGA
State: optimized geometry

Cell lengths 3.9212, 3.9212, 12.0558 Å; angles 90.00, 90.00, 90.00 degrees
Closest atoms and distances in Å follow each position.
Space group I-4m2 (No. 119)
One atom of each set of equivalent atoms:
Mn 0.0000 0.0000 0.0000 [2 per cell]  4 Cl 2.77
Cd 0.0000 0.5000 0.7500 [2 per cell]  4 Cl 2.77
Cl 0.0000 0.0000 0.5000 [2 per cell]  4 Mn 2.77
Cl 0.0000 0.5000 0.2500 [2 per cell]  4 Cd 2.77

Summary:
crystal system: tetragonal
E_tot: -0.2602 Ry/atom
formation energy from raw total energies: -0.10 eV per atom
energy above the most stable polymorph in this dataset: 594 meV/atom

=====

Material: MnCd2Cl8
Method: DFT, PBE-GGA
State: optimized geometry

Cell lengths 15.4477, 6.6248, 6.3146 Å; angles 90.00, 95.59, 90.00 degrees
Closest atoms and distances in Å follow each position.
Space group C2/m (No. 12)
One atom of each set of equivalent atoms:
Mn 0.0000 0.0000 0.0000 [2 per cell]  6 Cl 2.28-2.32
Cd 0.1547 0.0000 0.4767 [4 per cell]  4 Cl 2.41-2.64
Cl 0.0489 0.2412 0.2399 [8 per cell]  1 Mn 2.28
Cl 0.1360 0.0000 0.8729 [4 per cell]  1 Mn 2.32, 1 Cd 2.55
Cl 0.1955 0.5000 0.5979 [4 per cell]  1 Cd 2.41

Summary:
crystal system: monoclinic
E_tot: -0.2375 Ry/atom
formation energy from raw total energies: -0.89 eV per atom

=====

Material: MnCd2Cl
Method: DFT, PBE-GGA
State: optimized geometry

Cell lengths 3.1668, 3.1668, 8.7111 Å; angles 90.00, 90.00, 90.00 degrees
Closest atoms and distances in Å follow each position.
Space group P4mm (No. 99)
One atom of each set of equivalent atoms:
Mn 0.0000 0.0000 0.0000 [1 per cell]  4 Cl 2.63
Cd 0.0000 0.0000 0.4849 [1 per cell]  8 Cd 3.17-3.19
Cd 0.5000 0.5000 0.2238 [1 per cell]  4 Mn 2.97, 8 Cd 3.17-3.19
Cl 0.5000 0.5000 0.8413 [1 per cell]  4 Mn 2.63

Summary:
crystal system: tetragonal
E_tot: -0.2421 Ry/atom
formation energy from raw total energies: -0.08 eV per atom
energy above the most stable polymorph in this dataset: 0 meV/atom